A plane-wave DFT calculation with PBE was carried out for a relaxed NdBeAsO crystal.

Unit cell a=3.9547 b=3.9547 c=10.2374 alpha=90.00 beta=90.00 gamma=120.00
Space group P6_3mc (No. 186)
Inequivalent atoms, fractional coordinates:
1 Nd 0.3333 0.6667 0.0000 (multiplicity 2)
2 Be 0.0000 0.0000 0.2236 (multiplicity 2)
3 As 0.3333 0.6667 0.2979 (multiplicity 2)
4 O 0.0000 0.0000 0.0689 (multiplicity 2)

Values from the calculation:
Energy: -6.40 eV/atom
Raw formation energy: -1870 meV/atom

A plane-wave DFT calculation with PBE was carried out for a relaxed Nd3Be2AsPt9 crystal.

Unit cell a=5.8711 b=5.8711 c=9.3416 alpha=90.00 beta=90.00 gamma=120.00
Space group P-3m1 (No. 164)
Inequivalent atoms, fractional coordinates:
1 Nd 0.0000 0.0000 0.0000 (multiplicity 1)
2 Nd 0.3333 0.6667 0.6164 (multiplicity 2)
3 Be 0.3333 0.6667 0.1497 (multiplicity 2)
4 As 0.0000 0.0000 0.5000 (multiplicity 1)
5 Pt 0.0000 0.5000 0.0000 (multiplicity 3)
6 Pt 0.1649 0.3299 0.2973 (multiplicity 6)

Values from the calculation:
Energy: -6.14 eV/atom
ΔH_f (0 K): -760 meV per atom

A plane-wave DFT calculation with PBE was carried out for a relaxed Be2Ni8As crystal.

Unit cell a=12.087 b=3.651 c=5.526 alpha=90.00 beta=108.37 gamma=90.00
Space group C2/m (No. 12)
Inequivalent atoms, fractional coordinates:
1 Be 0.218 0.000 0.152 (multiplicity 4)
2 Ni 0.043 0.000 0.232 (multiplicity 4)
3 Ni 0.104 0.500 0.973 (multiplicity 4)
4 Ni 0.161 0.000 0.731 (multiplicity 4)
5 Ni 0.180 0.500 0.435 (multiplicity 4)
6 As 0.000 0.500 0.500 (multiplicity 2)

Values from the calculation:
Energy: -5.50 eV/atom
ΔH_f (0 K): -192 meV per atom

A plane-wave DFT calculation with PBE was carried out for a relaxed Be2Ni2As crystal.

Unit cell a=6.052 b=6.052 c=2.928 alpha=90.00 beta=90.00 gamma=90.00
Space group P4/mbm (No. 127)
Inequivalent atoms, fractional coordinates:
1 Be 0.126 0.374 0.000 (multiplicity 4)
2 Ni 0.157 0.657 0.500 (multiplicity 4)
3 As 0.000 0.000 0.000 (multiplicity 2)

Values from the calculation:
Energy above the most stable polymorph in this dataset: 7 meV/atom
Energy: -4.85 eV/atom
ΔH_f (0 K): -116 meV per atom